Computed, not measured: a geometry-optimized ScS2I structure at the GGA-PBE level of DFT.

Geometry as POSCAR:
```
ScS2I
1.0
2.267 -3.588 2.394
-2.414 -2.611 3.331
-1.152 -4.645 -0.913
S Sc I
2 1 1
direct
0.250 0.250 0.250
0.750 0.750 0.750
0.000 0.000 0.000
0.500 0.500 0.500
```

## Properties
- V (Å³/cell) = 82
- formation energy without anion corrections (eV/f.u.) = -0.76
- energy relative to the lowest polymorph listed for this composition (meV/atom) = 875
- magnetization (μB/cell) = 0.000
- SG = No. 225


Computed, not measured: a geometry-optimized Na2In2Au structure at the GGA-PBE level of DFT.

Geometry as POSCAR:
```
Na2In2Au
1.0
-3.493 -6.708 -1.139
4.876 0.837 5.833
-0.349 5.109 6.493
Na In Au
4 4 2
direct
0.858 0.227 0.526
0.142 0.773 0.474
0.773 0.142 0.026
0.227 0.858 0.974
0.291 0.280 0.442
0.720 0.709 0.942
0.280 0.291 0.058
0.709 0.720 0.558
0.603 0.603 0.250
0.397 0.397 0.750
```

## Properties
- V (Å³/cell) = 282
- calculated formation energy (eV/atom) = -0.183
- energy relative to the lowest polymorph listed for this composition (meV/atom) = 0
- magnetization (μB/cell) = 0.000
- SG = No. 15


Computed, not measured: a geometry-optimized Te2PdI structure at the GGA-PBE level of DFT.

Geometry as POSCAR:
```
Te2PdI
1.0
2.420 0.000 8.638
-1.210 2.095 8.638
-1.210 -2.095 8.638
Te I Pd
2 1 1
direct
0.884 0.884 0.884
0.116 0.116 0.116
0.000 0.000 0.000
0.500 0.500 0.500
```

## Properties
- V (Å³/cell) = 131
- formation energy without anion corrections (eV/f.u.) = -0.97
- magnetization (μB/cell) = 0.000
- SG = No. 166


Computed, not measured: a geometry-optimized NaSrLa2Se4 structure at the GGA-PBE level of DFT.

Geometry as POSCAR:
```
NaSrLa2Se4
1.0
4.350 0.000 0.000
0.000 7.586 -0.174
0.000 2.641 7.023
Se Sr La Na
4 1 2 1
direct
0.000 0.244 0.254
0.500 0.241 0.752
0.000 0.756 0.746
0.500 0.759 0.248
0.500 0.500 0.000
0.000 0.000 0.000
0.500 0.000 0.500
0.000 0.500 0.500
```

## Properties
- V (Å³/cell) = 234
- formation energy without anion corrections (eV/f.u.) = -14.99
- magnetization (μB/cell) = 0.000
- SG = No. 10


Which of these has the lowest V?
ScS2I


What is the magnetization in the first record?
0.000 μB/cell


V of number 1 (ScS2I)?
82 Å³/cell